(1)
DFT (meta-GGA SCAN) results for a crystal of Mg2ScAu relaxed with PBEsol.

As for the raw total energy: -95.47 eV for the cell shown. Its space group is P4mm (99).

Lattice parameters (Å, degrees): 3.434 3.434 6.816 90.00 90.00 90.00
Element x y z (fractional)
Mg (0.500, 0.500, 0.245)
Sc (0.000, 0.000, 0.532)
Mg (0.000, 0.000, 0.979)
Au (0.500, 0.500, 0.744)

***

(2)
DFT (meta-GGA SCAN) results for a crystal of Mg2ScAu relaxed with PBEsol.

As for the raw total energy: -95.73 eV for the cell shown. Its space group is I-4m2 (119).

Lattice parameters (Å, degrees): 4.741 4.737 4.741 59.97 90.00 120.03
Element x y z (fractional)
Sc (0.250, 0.500, 0.250)
Mg (0.500, 0.000, 0.500)
Mg (0.750, 0.500, 0.750)
Au (0.000, 0.000, 0.000)

***

(3)
DFT (meta-GGA SCAN) results for a crystal of Mg2ScAu relaxed with PBEsol.

As for the raw total energy: -95.00 eV for the cell shown. Its space group is P4/mmm (123).

Lattice parameters (Å, degrees): 3.244 3.244 7.646 90.00 90.00 90.00
Last column: magnetic moment on the atom in μB.
Element x y z (fractional)
Mg (0.000, 0.000, 0.710)  0.00
Mg (0.000, 0.000, 0.290)  0.00
Sc (0.500, 0.500, 0.000)  0.35
Au (0.500, 0.500, 0.500)  0.00

***

(4)
DFT (meta-GGA SCAN) results for a crystal of Mg2ScZnAu relaxed with PBEsol.

As for the raw total energy: -106.36 eV for the cell shown. Its space group is P4/mmm (123).

Lattice parameters (Å, degrees): 4.754 4.754 4.983 90.00 90.00 90.00
Element x y z (fractional)
Zn (0.000, 0.000, 0.000)
Sc (0.000, 0.000, 0.500)
Mg (0.500, 0.000, 0.000)
Au (0.500, 0.500, 0.500)
Mg (0.000, 0.500, 0.000)

***

(5)
DFT (meta-GGA SCAN) results for a crystal of MgAuSe2 relaxed with PBEsol.

As for the raw total energy: -117.05 eV for the cell shown. Its formation energy (no corrections) is -0.69 eV/atom. Its space group is P4/mmm (123).

Lattice parameters (Å, degrees): 3.843 3.843 5.400 90.00 90.00 90.00
Element x y z (fractional)
Au (0.000, 0.000, 0.000)
Se (0.000, 0.000, 0.500)
Se (0.500, 0.500, 0.000)
Mg (0.500, 0.500, 0.500)

***

(6)
DFT (meta-GGA SCAN) results for a crystal of MgAuSe relaxed with PBEsol.

As for the raw total energy: -95.64 eV for the cell shown. Its formation energy (no corrections) is -0.48 eV/atom. Its space group is P3m1 (156).

Lattice parameters (Å, degrees): 4.044 4.044 4.284 90.00 90.00 120.00
Element x y z (fractional)
Mg (0.333, 0.667, 0.663)
Au (0.000, 0.000, 0.001)
Se (0.667, 0.333, 0.336)

***

(7)
DFT (meta-GGA SCAN) results for a crystal of MgAu2Se relaxed with PBEsol.

As for the raw total energy: -164.64 eV for the cell shown. Its formation energy (no corrections) is -0.32 eV/atom. Its distance to the lowest polymorph of the same formula is 59 meV/atom. Its space group is R3m (160).

Lattice parameters (Å, degrees): 4.045 4.045 6.130 70.73 70.73 60.00
Element x y z (fractional)
Au (0.749, 0.749, 0.754)
Se (0.248, 0.248, 0.255)
Au (0.002, 0.002, 0.993)
Mg (0.501, 0.501, 0.498)

***

(8)
DFT (meta-GGA SCAN) results for a crystal of MgAuSe2 relaxed with PBEsol.

As for the raw total energy: -115.45 eV for the cell shown. Its formation energy (no corrections) is -0.29 eV/atom. Its space group is P2/m (10).

Lattice parameters (Å, degrees): 3.887 4.218 5.265 106.91 90.00 90.00
Element x y z (fractional)
Au (0.500, 0.000, 0.500)
Mg (0.500, 0.500, 0.000)
Se (0.000, 0.754, 0.745)
Se (0.000, 0.246, 0.255)

***

(9)
DFT (meta-GGA SCAN) results for a crystal of MgAu2Se relaxed with PBEsol.

As for the raw total energy: -164.87 eV for the cell shown. Its formation energy (no corrections) is -0.38 eV/atom. Its distance to the lowest polymorph of the same formula is 0 meV/atom. Its space group is I4/mmm (139).

Lattice parameters (Å, degrees): 3.886 3.886 5.534 110.56 110.56 90.00
Element x y z (fractional)
Se (0.500, 0.500, 0.000)
Au (0.750, 0.250, 0.500)
Au (0.250, 0.750, 0.500)
Mg (0.000, 0.000, 0.000)

***

(10)
DFT (meta-GGA SCAN) results for a crystal of MgAuSe4 relaxed with PBEsol.

As for the raw total energy: -151.55 eV for the cell shown. Its formation energy (no corrections) is 0.48 eV/atom. Its space group is F-43m (216).

Lattice parameters (Å, degrees): 5.636 5.636 5.636 60.00 60.00 60.00
Element x y z (fractional)
Se (0.376, 0.376, 0.376)
Mg (0.000, 0.000, 0.000)
Se (0.872, 0.376, 0.376)
Au (0.750, 0.750, 0.750)
Se (0.376, 0.872, 0.376)
Se (0.376, 0.376, 0.872)

***

(11)
DFT (meta-GGA SCAN) results for a crystal of Mg4SiAu relaxed with PBEsol.

As for the raw total energy: -97.69 eV for the cell shown. Its formation energy (no corrections) is 0.23 eV/atom. Its space group is F-43m (216).

Lattice parameters (Å, degrees): 5.512 5.512 5.512 60.00 60.00 60.00
Element x y z (fractional)
Mg (0.375, 0.375, 0.875)
Mg (0.375, 0.375, 0.375)
Mg (0.375, 0.875, 0.375)
Si (0.750, 0.750, 0.750)
Au (0.000, 0.000, 0.000)
Mg (0.875, 0.375, 0.375)

***

(12)
DFT (meta-GGA SCAN) results for a crystal of SmMgAu relaxed with PBEsol.

As for the raw total energy: -363.69 eV for the cell shown. Its space group is P-62m (189).

Lattice parameters (Å, degrees): 4.080 7.626 7.626 120.00 90.00 90.00
Element x y z (fractional)
Sm (0.500, 0.413, 0.413)
Sm (0.500, 0.587, 0.000)
Au (0.000, 0.333, 0.667)
Sm (0.500, 0.000, 0.587)
Au (0.500, 0.000, 0.000)
Mg (0.000, 0.755, 0.755)
Mg (0.000, 0.245, 0.000)
Au (0.000, 0.667, 0.333)
Mg (0.000, 0.000, 0.245)